No. 1
Material: Zr2RuCl
Method: DFT, GGA-PBE
State: optimized geometry

Summary:
- Uncorrected formation energy: -0.37 eV per atom
- Magnetization: 0.0 μB per formula unit

Unit cell a=4.508 b=5.491 c=5.491 alpha=33.42 beta=90.00 gamma=90.00
Element x y z (fractional)
Zr (0.000, 0.000, 0.000)
Zr (0.500, 0.253, 0.253)
Ru (0.500, 0.520, 0.520)
Cl (0.000, 0.754, 0.754)

=====

No. 2
Material: Ac4PAuI2
Method: DFT, GGA-PBE
State: optimized geometry

Summary:
- Uncorrected formation energy: -1.09 eV per atom
- Magnetization: 0.0 μB per formula unit

Unit cell a=8.030 b=4.444 c=8.571 alpha=90.00 beta=107.15 gamma=90.00
Element x y z (fractional)
Ac (0.222, 0.000, 0.201)
Ac (0.266, 0.500, 0.800)
Ac (0.734, 0.500, 0.200)
Ac (0.778, 0.000, 0.799)
P (0.000, 0.500, 0.000)
Au (0.500, 0.000, 0.000)
I (0.000, 0.000, 0.500)
I (0.500, 0.500, 0.500)

=====

No. 3
Material: CaZr2BeTl
Method: DFT, GGA-PBE
State: optimized geometry

Summary:
- Formation enthalpy at 0 K: 1.3050 eV/atom
- Magnetization: 0.0 μB per formula unit

Unit cell a=5.400 b=5.400 c=5.588 alpha=90.00 beta=90.00 gamma=90.00
Element x y z (fractional)
Ca (0.000, 0.000, 0.000)
Zr (0.000, 0.500, 0.500)
Zr (0.500, 0.000, 0.500)
Be (0.500, 0.500, 0.000)
Tl (0.000, 0.000, 0.500)

=====

Question: magnetization of number 1 (Zr2RuCl)?
Answer: 0.0 μB per formula unit

=====

Question: Number 1 is which compound?
Answer: Zr2RuCl

=====

Question: Number 2 is which compound?
Answer: Ac4PAuI2